First-principles (GGA-PBE) data for CsKSe2 after structural relaxation, as listed in the Alexandria database.

```
CsKSe2
1.0
5.5829 0.0000 0.0000
0.0000 4.1437 5.1990
0.0000 -4.1437 5.1990
Cs K Se
1 1 2
Cartesian
0.0000 0.0000 0.0000
2.7915 0.0000 4.3733
0.0000 -1.2168 3.2716
0.0000 1.2168 3.2716
```

Computed properties:
- Volume: 240.5 Å³/f.u.
- E above lowest polymorph: 1.792 kcal/mol of atoms
- Uncorrected energy: -3.04 eV per atom
- Magnetic moment: 0.00 μB per cell
- Formation energy without anion corrections: -18.8 kcal/mol of atoms

=====

First-principles (GGA-PBE) data for CsK2Se4 after structural relaxation, as listed in the Alexandria database.

```
CsK2Se4
1.0
10.6933 -2.5425 0.0000
10.6933 2.5425 0.0000
-1.6395 0.0000 9.5224
Cs K Se
2 4 8
Cartesian
9.4637 1.3235 7.1418
10.2834 -1.3235 2.3806
6.3341 0.1497 2.5848
5.5144 -0.1497 7.3460
14.2327 0.1497 2.1764
13.4130 -0.1497 6.9376
8.5064 1.3333 0.3963
3.3480 0.0907 4.5193
2.5282 -0.0907 9.2805
12.0604 1.3333 4.3649
7.6866 -1.3333 5.1575
17.2189 0.0907 0.2419
16.3991 -0.0907 5.0031
11.2407 -1.3333 9.1261
```

Computed properties:
- Volume: 258.9 Å³/f.u.
- Uncorrected energy: -3.21 eV per atom
- Magnetic moment: 0.00 μB per cell
- Formation energy without anion corrections: -18.2 kcal/mol of atoms
- Density of states at the Fermi level: 3.11 states/eV/cell